A plane-wave DFT calculation with PBE was carried out for a relaxed Os2RuRh crystal.

a b c (Å): 4.3581 4.3581 4.3581
angles (deg): 60.00 60.00 60.00
Closest atoms and distances in Å follow each position.
Element x y z (fractional)
1 Rh 0.5000 0.5000 0.5000  8 Os 2.67
2 Os 0.2500 0.2500 0.2500  4 Ru 2.67, 4 Rh 2.67
3 Os 0.7500 0.7500 0.7500  4 Ru 2.67, 4 Rh 2.67
4 Ru 0.0000 0.0000 0.0000  8 Os 2.67

For the energy of formation from the pure elements, the calculation gives 0.698 eV per atom. For the density of states at the Fermi level, the calculation gives 6.08 states/eV per cell. The volume is 14.632 A^3/atom. The calculated total energy is -36.30 eV for the cell shown. The offset from the most stable computed form comes out at 236.4 kJ/mol of formula units.